Entry P
# LiSc2Pb2 | Alexandria via LeMat-Bulk | PBE | optimized geometry
# Total moment, μB/cell: 0.790
data_LiSc2Pb2
_symmetry_space_group_name_H-M 'P 4/m b m'
_symmetry_Int_Tables_number 127
_symmetry_space_group_name_Hall '-P 4 2ab'
_cell_length_a 8.678
_cell_length_b 8.678
_cell_length_c 3.396
_cell_angle_alpha 90.00
_cell_angle_beta 90.00
_cell_angle_gamma 90.00
loop_
_atom_site_label
_atom_site_type_symbol
_atom_site_fract_x
_atom_site_fract_y
_atom_site_fract_z
Li1 Li 0.000 0.000 0.000
Sc1 Sc 0.126 0.374 0.000
Pb1 Pb 0.175 0.675 0.500

Entry Q
# LiSc2Pb2 | Alexandria via LeMat-Bulk | PBE | optimized geometry
# Total moment, μB/cell: 1.080
data_LiSc2Pb2
_symmetry_space_group_name_H-M 'I 4/m m m'
_symmetry_Int_Tables_number 139
_symmetry_space_group_name_Hall '-I 4 2'
_cell_length_a 4.714
_cell_length_b 4.714
_cell_length_c 13.257
_cell_angle_alpha 90.00
_cell_angle_beta 90.00
_cell_angle_gamma 90.00
loop_
_atom_site_label
_atom_site_type_symbol
_atom_site_fract_x
_atom_site_fract_y
_atom_site_fract_z
Li1 Li 0.000 0.000 0.000
Sc1 Sc 0.000 0.500 0.250
Pb1 Pb 0.000 0.000 0.389

Bottom line: entry P, by a margin of 0.254 eV/atom.

Entry P
# LiScPb3 | Alexandria via LeMat-Bulk | PBE | optimized geometry
# Total moment, μB/cell: 0.000
data_LiScPb3
_symmetry_space_group_name_H-M 'P m -3 m'
_symmetry_Int_Tables_number 221
_symmetry_space_group_name_Hall '-P 4 2 3'
_cell_length_a 5.638
_cell_length_b 5.638
_cell_length_c 5.638
_cell_angle_alpha 90.00
_cell_angle_beta 90.00
_cell_angle_gamma 90.00
loop_
_atom_site_label
_atom_site_type_symbol
_atom_site_fract_x
_atom_site_fract_y
_atom_site_fract_z
Li1 Li 0.000 0.000 0.000
Sc1 Sc 0.500 0.500 0.500
Pb1 Pb 0.000 0.500 0.500

Entry Q
# LiScPb3 | Alexandria via LeMat-Bulk | PBE | optimized geometry
# Total moment, μB/cell: 0.000
data_LiScPb3
_symmetry_space_group_name_H-M 'P m -3 m'
_symmetry_Int_Tables_number 221
_symmetry_space_group_name_Hall '-P 4 2 3'
_cell_length_a 5.119
_cell_length_b 5.119
_cell_length_c 5.119
_cell_angle_alpha 90.00
_cell_angle_beta 90.00
_cell_angle_gamma 90.00
loop_
_atom_site_label
_atom_site_type_symbol
_atom_site_fract_x
_atom_site_fract_y
_atom_site_fract_z
Li1 Li 0.000 0.000 0.000
Sc1 Sc 0.500 0.500 0.500
Pb1 Pb 0.000 0.000 0.500

Bottom line: entry Q, by a margin of 0.042 eV/atom.

Entry P
# Li2ScPb2 | Alexandria via LeMat-Bulk | PBE | optimized geometry
# Total moment, μB/cell: 0.960
data_Li2ScPb2
_symmetry_space_group_name_H-M 'P 4/m b m'
_symmetry_Int_Tables_number 127
_symmetry_space_group_name_Hall '-P 4 2ab'
_cell_length_a 8.165
_cell_length_b 8.165
_cell_length_c 3.225
_cell_angle_alpha 90.00
_cell_angle_beta 90.00
_cell_angle_gamma 90.00
loop_
_atom_site_label
_atom_site_type_symbol
_atom_site_fract_x
_atom_site_fract_y
_atom_site_fract_z
Li1 Li 0.114 0.386 0.000
Sc1 Sc 0.000 0.000 0.000
Pb1 Pb 0.182 0.682 0.500

Entry Q
# Li2ScPb2 | Alexandria via LeMat-Bulk | PBE | optimized geometry
# Total moment, μB/cell: 0.000
data_Li2ScPb2
_symmetry_space_group_name_H-M 'I 4/m m m'
_symmetry_Int_Tables_number 139
_symmetry_space_group_name_Hall '-I 4 2'
_cell_length_a 4.148
_cell_length_b 4.148
_cell_length_c 13.158
_cell_angle_alpha 90.00
_cell_angle_beta 90.00
_cell_angle_gamma 90.00
loop_
_atom_site_label
_atom_site_type_symbol
_atom_site_fract_x
_atom_site_fract_y
_atom_site_fract_z
Li1 Li 0.000 0.500 0.250
Sc1 Sc 0.000 0.000 0.000
Pb1 Pb 0.000 0.000 0.390

Bottom line: entry P, by a margin of 0.046 eV/atom.

Entry P
# LiScTlPb | Alexandria via LeMat-Bulk | PBE | optimized geometry
# Total moment, μB/cell: 0.000
data_LiScTlPb
_symmetry_space_group_name_H-M 'F -4 3 m'
_symmetry_Int_Tables_number 216
_symmetry_space_group_name_Hall 'F -4 2 3'
_cell_length_a 7.203
_cell_length_b 7.203
_cell_length_c 7.203
_cell_angle_alpha 90.00
_cell_angle_beta 90.00
_cell_angle_gamma 90.00
loop_
_atom_site_label
_atom_site_type_symbol
_atom_site_fract_x
_atom_site_fract_y
_atom_site_fract_z
Li1 Li 0.000 0.000 0.000
Sc1 Sc 0.000 0.000 0.500
Tl1 Tl 0.250 0.250 0.250
Pb1 Pb 0.250 0.250 0.750

Entry Q
# LiScTlPb | Alexandria via LeMat-Bulk | PBE | optimized geometry
# Total moment, μB/cell: 0.000
data_LiScTlPb
_symmetry_space_group_name_H-M 'P m m m'
_symmetry_Int_Tables_number 47
_cell_length_a 4.026
_cell_length_b 4.700
_cell_length_c 4.878
_cell_angle_alpha 90.00
_cell_angle_beta 90.00
_cell_angle_gamma 90.00
loop_
_symmetry_equiv_pos_as_xyz
'x,y,z'
'-x,-y,-z'
'-x,-y,z'
'x,y,-z'
'x,-y,-z'
'-x,y,z'
'-x,y,-z'
'x,-y,z'
loop_
_atom_site_label
_atom_site_type_symbol
_atom_site_fract_x
_atom_site_fract_y
_atom_site_fract_z
Li1 Li 0.000 0.000 0.000
Sc1 Sc 0.000 0.500 0.500
Tl1 Tl 0.500 0.500 0.000
Pb1 Pb 0.500 0.000 0.500

Bottom line: entry Q, by a margin of 0.043 eV/atom.

Entry P
# Li2Pb2Se | Alexandria via LeMat-Bulk | PBE | optimized geometry
# Total moment, μB/cell: 0.000
data_Li2Pb2Se
_symmetry_space_group_name_H-M 'P 4/m b m'
_symmetry_Int_Tables_number 127
_symmetry_space_group_name_Hall '-P 4 2ab'
_cell_length_a 6.759
_cell_length_b 6.759
_cell_length_c 5.149
_cell_angle_alpha 90.00
_cell_angle_beta 90.00
_cell_angle_gamma 90.00
loop_
_atom_site_label
_atom_site_type_symbol
_atom_site_fract_x
_atom_site_fract_y
_atom_site_fract_z
Li1 Li 0.156 0.344 0.000
Pb1 Pb 0.163 0.663 0.500
Se1 Se 0.000 0.000 0.000

Entry Q
# Li2Pb2Se | Alexandria via LeMat-Bulk | PBE | optimized geometry
# Total moment, μB/cell: 0.649
data_Li2Pb2Se
_symmetry_space_group_name_H-M 'P 4/m m m'
_symmetry_Int_Tables_number 123
_symmetry_space_group_name_Hall '-P 4 2'
_cell_length_a 4.799
_cell_length_b 4.799
_cell_length_c 6.339
_cell_angle_alpha 90.00
_cell_angle_beta 90.00
_cell_angle_gamma 90.00
loop_
_atom_site_label
_atom_site_type_symbol
_atom_site_fract_x
_atom_site_fract_y
_atom_site_fract_z
Li1 Li 0.000 0.500 0.000
Pb1 Pb 0.000 0.000 0.500
Pb2 Pb 0.500 0.500 0.500
Se1 Se 0.000 0.000 0.000

Bottom line: entry Q, by a margin of 0.008 eV/atom.

Entry P
# LiPb3Se | Alexandria via LeMat-Bulk | PBE | optimized geometry
# Total moment, μB/cell: 0.000
data_LiPb3Se
_symmetry_space_group_name_H-M 'P m -3 m'
_symmetry_Int_Tables_number 221
_symmetry_space_group_name_Hall '-P 4 2 3'
_cell_length_a 5.746
_cell_length_b 5.746
_cell_length_c 5.746
_cell_angle_alpha 90.00
_cell_angle_beta 90.00
_cell_angle_gamma 90.00
loop_
_atom_site_label
_atom_site_type_symbol
_atom_site_fract_x
_atom_site_fract_y
_atom_site_fract_z
Li1 Li 0.000 0.000 0.000
Pb1 Pb 0.000 0.500 0.500
Se1 Se 0.500 0.500 0.500

Entry Q
# LiPb3Se | Alexandria via LeMat-Bulk | PBE | optimized geometry
# Total moment, μB/cell: 0.000
data_LiPb3Se
_symmetry_space_group_name_H-M 'P m -3 m'
_symmetry_Int_Tables_number 221
_symmetry_space_group_name_Hall '-P 4 2 3'
_cell_length_a 5.168
_cell_length_b 5.168
_cell_length_c 5.168
_cell_angle_alpha 90.00
_cell_angle_beta 90.00
_cell_angle_gamma 90.00
loop_
_atom_site_label
_atom_site_type_symbol
_atom_site_fract_x
_atom_site_fract_y
_atom_site_fract_z
Li1 Li 0.000 0.000 0.000
Pb1 Pb 0.000 0.000 0.500
Se1 Se 0.500 0.500 0.500

Bottom line: entry Q, by a margin of 0.094 eV/atom.

Entry P
# LiSiPb3 | Alexandria via LeMat-Bulk | PBE | optimized geometry
# Total moment, μB/cell: 0.000
data_LiSiPb3
_symmetry_space_group_name_H-M 'P m -3 m'
_symmetry_Int_Tables_number 221
_symmetry_space_group_name_Hall '-P 4 2 3'
_cell_length_a 5.472
_cell_length_b 5.472
_cell_length_c 5.472
_cell_angle_alpha 90.00
_cell_angle_beta 90.00
_cell_angle_gamma 90.00
loop_
_atom_site_label
_atom_site_type_symbol
_atom_site_fract_x
_atom_site_fract_y
_atom_site_fract_z
Li1 Li 0.000 0.000 0.000
Si1 Si 0.500 0.500 0.500
Pb1 Pb 0.000 0.500 0.500

Entry Q
# LiSiPb3 | Alexandria via LeMat-Bulk | PBE | optimized geometry
# Total moment, μB/cell: 0.000
data_LiSiPb3
_symmetry_space_group_name_H-M 'P m -3 m'
_symmetry_Int_Tables_number 221
_symmetry_space_group_name_Hall '-P 4 2 3'
_cell_length_a 5.132
_cell_length_b 5.132
_cell_length_c 5.132
_cell_angle_alpha 90.00
_cell_angle_beta 90.00
_cell_angle_gamma 90.00
loop_
_atom_site_label
_atom_site_type_symbol
_atom_site_fract_x
_atom_site_fract_y
_atom_site_fract_z
Li1 Li 0.000 0.000 0.000
Si1 Si 0.500 0.500 0.500
Pb1 Pb 0.000 0.000 0.500

Bottom line: entry P, by a margin of 0.059 eV/atom.

Entry P
# Li3SiPb | Alexandria via LeMat-Bulk | PBE | optimized geometry
# Total moment, μB/cell: 0.000
data_Li3SiPb
_symmetry_space_group_name_H-M 'P m -3 m'
_symmetry_Int_Tables_number 221
_symmetry_space_group_name_Hall '-P 4 2 3'
_cell_length_a 4.767
_cell_length_b 4.767
_cell_length_c 4.767
_cell_angle_alpha 90.00
_cell_angle_beta 90.00
_cell_angle_gamma 90.00
loop_
_atom_site_label
_atom_site_type_symbol
_atom_site_fract_x
_atom_site_fract_y
_atom_site_fract_z
Li1 Li 0.000 0.000 0.500
Si1 Si 0.000 0.000 0.000
Pb1 Pb 0.500 0.500 0.500

Entry Q
# Li3SiPb | Alexandria via LeMat-Bulk | PBE | optimized geometry
# Total moment, μB/cell: 0.000
data_Li3SiPb
_symmetry_space_group_name_H-M 'P m -3 m'
_symmetry_Int_Tables_number 221
_symmetry_space_group_name_Hall '-P 4 2 3'
_cell_length_a 5.035
_cell_length_b 5.035
_cell_length_c 5.035
_cell_angle_alpha 90.00
_cell_angle_beta 90.00
_cell_angle_gamma 90.00
loop_
_atom_site_label
_atom_site_type_symbol
_atom_site_fract_x
_atom_site_fract_y
_atom_site_fract_z
Li1 Li 0.000 0.000 0.500
Si1 Si 0.500 0.500 0.500
Pb1 Pb 0.000 0.000 0.000

Bottom line: entry P, by a margin of 0.452 eV/atom.